HoGa2Ni (GGA-PBE, relaxed); ρ = 8.7 g/cm³; crystal system = monoclinic; formation energy = -0.6551 eV/atom; calculated volume = 17.25 Å³ per atom
1.0
4.130 0.000 0.000
0.000 6.664 0.000
-2.047 0.000 5.015
Ho Ga Ni
2 4 2
Direct
0.074 0.250 0.146
0.926 0.750 0.854
0.358 0.054 0.715
0.358 0.446 0.715
0.642 0.554 0.285
0.642 0.946 0.285
0.209 0.750 0.420
0.791 0.250 0.580

CaMg2Tc (GGA-PBE, relaxed); offset from the most stable computed form = 64 meV per atom; ρ = 3.8 g/cm³; crystal system = cubic; formation energy = 0.3519 eV/atom; calculated volume = 20.59 Å³ per atom
1.0
0.000 3.453 3.453
3.453 0.000 3.453
3.453 3.453 0.000
Ca Mg Tc
1 2 1
Direct
0.000 0.000 0.000
0.250 0.250 0.250
0.750 0.750 0.750
0.500 0.500 0.500

Ca2CoBrN (GGA-PBE, relaxed); ρ = 4.1 g/cm³; crystal system = tetragonal; E = -5.11 eV/atom; calculated volume = 18.93 Å³ per atom
1.0
5.157 0.000 0.000
0.000 5.157 0.000
0.000 0.000 3.559
Ca Co Br N
2 1 1 1
Direct
0.000 0.500 0.000
0.500 0.000 0.000
0.000 0.000 0.500
0.500 0.500 0.500
0.000 0.000 0.000

RbVSe (GGA-PBE, relaxed); offset from the most stable computed form = 588 meV per atom; ρ = 4.3 g/cm³; crystal system = orthorhombic; calculated volume = 28.03 Å³ per atom
1.0
0.000 6.442 7.500
3.481 0.000 7.500
3.481 6.442 0.000
Rb V Se
4 4 4
Direct
0.021 0.021 0.229
0.229 0.229 0.021
0.771 0.771 0.979
0.979 0.979 0.771
0.234 0.234 0.516
0.484 0.484 0.766
0.516 0.516 0.234
0.766 0.766 0.484
0.240 0.510 0.240
0.490 0.760 0.490
0.510 0.240 0.510
0.760 0.490 0.760

Pm5DyAl4 (GGA-PBE, relaxed); ρ = 6.1 g/cm³; crystal system = tetragonal; formation energy = -0.2736 eV/atom; calculated volume = 27.03 Å³ per atom
1.0
3.666 0.000 0.000
0.000 3.666 0.000
0.000 0.000 20.112
Pm Dy Al
5 1 4
Direct
0.000 0.000 0.000
0.000 0.000 0.187
0.000 0.000 0.374
0.000 0.000 0.626
0.000 0.000 0.813
0.500 0.500 0.500
0.500 0.500 0.094
0.500 0.500 0.282
0.500 0.500 0.718
0.500 0.500 0.906

Ta2TeAs (GGA-PBE, relaxed); ρ = 12.0 g/cm³; crystal system = tetragonal; E = -8.11 eV/atom; calculated volume = 19.48 Å³ per atom
1.0
3.492 0.000 0.000
0.000 3.492 0.000
0.000 0.000 6.390
Ta Te As
2 1 1
Direct
0.000 0.000 0.000
0.500 0.500 0.285
0.000 0.000 0.506
0.500 0.500 0.853

CsSr2Li2Sb2 (GGA-PBE, relaxed); ρ = 3.7 g/cm³; crystal system = trigonal; E = -2.99 eV/atom; calculated volume = 36.32 Å³ per atom
1.0
2.580 1.489 11.029
-2.580 1.489 11.029
0.000 -2.979 11.029
Cs Sr Li Sb
1 2 2 2
Direct
0.000 0.000 0.000
0.133 0.133 0.133
0.867 0.867 0.867
0.423 0.423 0.423
0.577 0.577 0.577
0.243 0.243 0.243
0.757 0.757 0.757

TbY6Co2 (GGA-PBE, relaxed); ρ = 5.6 g/cm³; crystal system = orthorhombic; formation energy = -0.0517 eV/atom; calculated volume = 26.82 Å³ per atom
1.0
-4.777 4.995 5.059
4.777 -4.995 5.059
4.777 4.995 -5.059
Tb Y Co
2 12 4
Direct
0.000 0.000 0.000
0.500 0.500 0.000
0.029 0.242 0.787
0.185 0.289 0.474
0.185 0.711 0.897
0.319 0.003 0.683
0.319 0.636 0.317
0.455 0.242 0.213
0.545 0.758 0.787
0.681 0.364 0.683
0.681 0.997 0.317
0.815 0.289 0.103
0.815 0.711 0.526
0.971 0.758 0.213
0.112 0.612 0.500
0.299 0.000 0.299
0.701 0.000 0.701
0.888 0.388 0.500

CeEr4Zn5 (GGA-PBE, relaxed); ρ = 8.4 g/cm³; crystal system = tetragonal; formation energy = -0.3123 eV/atom; calculated volume = 22.42 Å³ per atom
1.0
3.535 0.000 0.000
0.000 3.535 0.000
0.000 0.000 17.933
Ce Er Zn
1 4 5
Direct
0.000 0.000 0.000
0.000 0.000 0.205
0.000 0.000 0.402
0.000 0.000 0.598
0.000 0.000 0.795
0.500 0.500 0.109
0.500 0.500 0.303
0.500 0.500 0.500
0.500 0.500 0.697
0.500 0.500 0.891

ReAgCl2 (GGA-PBE, relaxed); offset from the most stable computed form = 812 meV per atom; ρ = 8.9 g/cm³; crystal system = tetragonal; calculated volume = 16.98 Å³ per atom
1.0
4.767 0.000 0.000
0.000 4.767 0.000
0.000 0.000 2.988
Re Ag Cl
1 1 2
Direct
0.000 0.000 0.000
0.500 0.500 0.000
0.000 0.500 0.500
0.500 0.000 0.500

Ac3In2Ag (GGA-PBE, relaxed); offset from the most stable computed form = 12 meV per atom; ρ = 8.4 g/cm³; crystal system = trigonal; formation energy = -0.3536 eV/atom; calculated volume = 33.60 Å³ per atom
1.0
5.724 0.000 0.000
-2.862 4.957 0.000
0.000 0.000 14.209
Ac In Ag
6 4 2
Direct
0.000 0.000 0.245
0.000 0.000 0.755
0.333 0.667 0.410
0.333 0.667 0.914
0.667 0.333 0.086
0.667 0.333 0.590
0.000 0.000 0.000
0.000 0.000 0.500
0.333 0.667 0.665
0.667 0.333 0.335
0.333 0.667 0.163
0.667 0.333 0.837

LiTeIN2 (GGA-PBE, relaxed); offset from the most stable computed form = 782 meV per atom; ρ = 4.2 g/cm³; crystal system = tetragonal; calculated volume = 23.03 Å³ per atom
1.0
4.420 0.000 0.000
0.000 4.420 0.000
0.000 0.000 5.896
Li Te I N
1 1 1 2
Direct
0.000 0.000 0.000
0.000 0.000 0.500
0.500 0.500 0.500
0.000 0.500 0.000
0.500 0.000 0.000

BaTlBr2 (GGA-PBE, relaxed); offset from the most stable computed form = 0 meV per atom; ρ = 5.3 g/cm³; crystal system = monoclinic; calculated volume = 39.53 Å³ per atom
1.0
4.008 0.000 0.000
0.000 3.996 0.000
-0.031 0.000 9.875
Ba Tl Br
1 1 2
Direct
0.000 0.000 0.000
0.500 0.000 0.500
0.498 0.500 0.816
0.502 0.500 0.184

Tb6Co2N (GGA-PBE, relaxed); ρ = 8.7 g/cm³; crystal system = monoclinic; E = -6.06 eV/atom; calculated volume = 22.91 Å³ per atom
1.0
6.337 0.000 0.000
0.000 6.892 0.000
-6.153 0.000 9.441
Tb Co N
12 4 2
Direct
0.112 0.048 0.241
0.112 0.452 0.741
0.241 0.690 0.067
0.241 0.810 0.567
0.374 0.173 0.062
0.374 0.327 0.562
0.626 0.673 0.438
0.626 0.827 0.938
0.759 0.190 0.433
0.759 0.310 0.933
0.888 0.548 0.259
0.888 0.952 0.759
0.294 0.096 0.758
0.294 0.404 0.258
0.706 0.596 0.742
0.706 0.904 0.242
0.000 0.000 0.000
0.000 0.500 0.500

Mg3AsN (GGA-PBE, relaxed); ρ = 2.9 g/cm³; crystal system = orthorhombic; E = -3.88 eV/atom; calculated volume = 18.67 Å³ per atom
1.0
3.248 0.000 0.000
0.000 3.892 3.692
0.000 -3.892 3.692
Mg As N
3 1 1
Direct
0.000 0.000 0.000
0.500 0.161 0.497
0.500 0.497 0.161
0.500 0.716 0.716
0.000 0.273 0.273

Na2In2IrO6 (GGA-PBE, relaxed); ρ = 6.2 g/cm³; crystal system = monoclinic; E = -5.60 eV/atom; calculated volume = 13.80 Å³ per atom
1.0
2.842 -4.829 0.000
2.842 4.829 0.000
-1.749 0.000 5.529
Na In Ir O
2 2 1 6
Direct
0.160 0.840 0.000
0.840 0.160 0.000
0.336 0.664 0.500
0.664 0.336 0.500
0.000 0.000 0.500
0.055 0.369 0.696
0.243 0.243 0.303
0.369 0.055 0.696
0.631 0.945 0.304
0.757 0.757 0.697
0.945 0.631 0.304

NaLaTa3 (GGA-PBE, relaxed); offset from the most stable computed form = 122 meV per atom; ρ = 9.3 g/cm³; crystal system = cubic; formation energy = 2.1593 eV/atom; calculated volume = 25.25 Å³ per atom
1.0
5.016 0.000 0.000
0.000 5.016 0.000
0.000 0.000 5.016
Na La Ta
1 1 3
Direct
0.000 0.000 0.000
0.500 0.500 0.500
0.000 0.500 0.500
0.500 0.000 0.500
0.500 0.500 0.000

Ba2AcBi (GGA-PBE, relaxed); offset from the most stable computed form = 0 meV per atom; ρ = 6.6 g/cm³; crystal system = tetragonal; formation energy = -0.3412 eV/atom; calculated volume = 44.67 Å³ per atom
1.0
4.808 0.000 0.000
0.000 4.808 0.000
0.000 0.000 7.729
Ba Ac Bi
2 1 1
Direct
0.000 0.000 0.222
0.000 0.000 0.778
0.500 0.500 0.500
0.500 0.500 0.000

MgTlSi2 (GGA-PBE, relaxed); offset from the most stable computed form = 70 meV per atom; ρ = 5.0 g/cm³; crystal system = monoclinic; calculated volume = 23.51 Å³ per atom
1.0
4.433 -1.863 0.000
4.433 1.863 0.000
-2.644 0.000 5.695
Mg Tl Si
1 1 2
Direct
0.000 0.000 0.000
0.125 0.125 0.626
0.332 0.332 0.389
0.752 0.752 0.129

LiSmTlIn (GGA-PBE, relaxed); ρ = 7.9 g/cm³; crystal system = cubic; formation energy = -0.3588 eV/atom; calculated volume = 25.13 Å³ per atom
1.0
0.000 3.691 3.691
3.691 0.000 3.691
3.691 3.691 0.000
Li Sm Tl In
1 1 1 1
Direct
0.000 0.000 0.000
0.500 0.500 0.500
0.250 0.250 0.250
0.750 0.750 0.750